Material: Ac2DyMnO6
Method: DFT, GGA+U
State: optimized geometry

abc: 5.907 5.844 5.921
angles: 119.57 121.26 90.00
Element x y z (fractional)
Ac  0.239  0.254  0.507
Ac  0.761  0.746  0.493
Dy  0.000  0.500  0.000
Mn  0.500  0.000  0.000
O  0.356  0.766  0.531
O  0.213  0.189  0.896
O  0.787  0.293  0.104
O  0.213  0.707  0.896
O  0.787  0.811  0.104
O  0.644  0.234  0.469

Computed properties:
- SG: C2/m (12)
- Theoretical density: 8.93 Mg/m³
- Electronic total energy: -7.851 eV per atom